Entry from Alexandria via LeMat-Bulk: crystalline KSc2Co at its relaxed geometry (GGA-PBEsol).

abc: 3.146 3.146 11.202
angles: 81.93 81.93 60.00
Site moments in Bohr magnetons follow the coordinates.
Sites, in units of the cell vectors:
Sc 0.934 0.934 0.199  -0.09
Sc 0.066 0.066 0.801  -0.09
K 0.500 0.500 0.500  -0.01
Co 0.000 0.000 0.000  0.72

N(E_F): 4.96 states/eV/cell
Space-group type: R-3m
Energy: -19.03 eV per formula unit
E_form: 0.762 eV/atom
Relative energy among the computed polymorphs: 0.659 eV per atom

Entry from Alexandria via LeMat-Bulk: crystalline KSc2Co at its relaxed geometry (GGA-PBEsol).

abc: 3.707 3.707 9.528
angles: 78.78 78.78 60.00
Sites, in units of the cell vectors:
Sc 0.211 0.211 0.367
Sc 0.789 0.789 0.633
Co 0.500 0.500 0.500
K 0.000 0.000 0.000

N(E_F): 2.87 states/eV/cell
Space-group type: R-3m
Energy: -21.67 eV per formula unit
E_form: 0.103 eV/atom
Relative energy among the computed polymorphs: 0.000 eV per atom

Entry from Alexandria via LeMat-Bulk: crystalline KScCo2 at its relaxed geometry (GGA-PBEsol).

abc: 4.632 4.632 4.632
angles: 60.00 60.00 60.00
Site moments in Bohr magnetons follow the coordinates.
Sites, in units of the cell vectors:
Co 0.250 0.250 0.250  1.24
Co 0.750 0.750 0.750  1.24
K 0.000 0.000 0.000  -0.02
Sc 0.500 0.500 0.500  -0.35

N(E_F): 7.10 states/eV/cell
Space-group type: Fm-3m
Energy: -19.22 eV per formula unit
E_form: 0.997 eV/atom

Entry from Alexandria via LeMat-Bulk: crystalline KSc2Co at its relaxed geometry (GGA-PBEsol).

abc: 3.637 3.637 10.223
angles: 79.75 79.75 60.00
Sites, in units of the cell vectors:
Sc 0.876 0.876 0.372
Sc 0.124 0.124 0.628
K 0.000 0.000 0.000
Co 0.500 0.500 0.500

N(E_F): 3.03 states/eV/cell
Space-group type: R-3m
Energy: -21.51 eV per formula unit
E_form: 0.144 eV/atom
Relative energy among the computed polymorphs: 0.041 eV per atom

Entry from Alexandria via LeMat-Bulk: crystalline K2ScZnCo at its relaxed geometry (GGA-PBEsol).

abc: 4.467 6.127 6.127
angles: 90.00 90.00 90.00
Sites, in units of the cell vectors:
K 0.000 0.500 0.000
K 0.000 0.000 0.500
Co 0.000 0.000 0.000
Sc 0.500 0.000 0.000
Zn 0.500 0.500 0.500

N(E_F): 4.01 states/eV/cell
Space-group type: P4/mmm
Energy: -14.21 eV per formula unit
E_form: 0.797 eV/atom

Entry from Alexandria via LeMat-Bulk: crystalline K2CoSe2 at its relaxed geometry (GGA-PBEsol).

abc: 6.085 6.894 7.975
angles: 115.61 112.43 90.00
Site moments in Bohr magnetons follow the coordinates.
Sites, in units of the cell vectors:
K 0.356 0.184 0.711  0.01
K 0.144 0.472 0.289  0.01
K 0.644 0.816 0.289  0.01
K 0.856 0.528 0.711  0.01
Se 0.602 0.287 0.204  0.20
Se 0.898 0.083 0.796  0.20
Se 0.398 0.713 0.796  0.20
Se 0.102 0.917 0.204  0.20
Co 0.250 0.000 0.000  2.16
Co 0.750 0.000 0.000  2.16

N(E_F): 7.71 states/eV/cell
Uncorrected formation energy: -0.700 eV/atom
Space-group type: Ibam
Energy: -21.21 eV per formula unit

Copy entry 5 word for word.
Entry from Alexandria via LeMat-Bulk: crystalline K2ScZnCo at its relaxed geometry (GGA-PBEsol).

abc: 4.467 6.127 6.127
angles: 90.00 90.00 90.00
Sites, in units of the cell vectors:
K 0.000 0.500 0.000
K 0.000 0.000 0.500
Co 0.000 0.000 0.000
Sc 0.500 0.000 0.000
Zn 0.500 0.500 0.500

N(E_F): 4.01 states/eV/cell
Space-group type: P4/mmm
Energy: -14.21 eV per formula unit
E_form: 0.797 eV/atom

> The lowest N(E_F) belongs to which entry?

number 2

> Among the records above, which one has the highest N(E_F)?

K2CoSe2